No. 1
Compound: CaSm2Cu
Source: the Alexandria database
Functional: PBE-GGA
Structure: optimized geometry

Values from the calculation:
The formation energy is -0.01 eV per atom. The energy above the most stable polymorph in this dataset comes out at 0.0121 eV/atom. For the density, the calculation gives 5.763 g/cm3.

Cell: 4.851 11.782 8.154 Å, 90.00 90.00 90.00°
Space group Cmcm (No. 63)
Asymmetric unit:
Ca 0.000 0.051 0.250 (multiplicity 4)
Sm 0.000 0.350 0.038 (multiplicity 8)
Cu 0.000 0.212 0.750 (multiplicity 4)



No. 2
Compound: Hf2USe6
Source: the Alexandria database
Functional: PBE-GGA
Structure: optimized geometry

Values from the calculation:
The uncorrected formation energy is -1.112 eV per atom. The energy above the most stable polymorph in this dataset comes out at 0.1478 eV/atom. For the density, the calculation gives 7.035 g/cm3.

Cell: 13.614 4.990 9.168 Å, 90.00 125.90 90.00°
Space group C2/m (No. 12)
Asymmetric unit:
Hf 0.177 0.000 0.110 (multiplicity 4)
U 0.000 0.000 0.500 (multiplicity 2)
Se 0.035 0.000 0.212 (multiplicity 4)
Se 0.135 0.500 0.553 (multiplicity 4)
Se 0.247 0.500 0.121 (multiplicity 4)



No. 3
Compound: Sr2TlPd4Pb3
Source: the Alexandria database
Functional: PBE-GGA
Structure: optimized geometry

Values from the calculation:
The formation energy is -0.46 eV per atom. For the density, the calculation gives 9.224 g/cm3.

Cell: 4.918 4.918 10.622 Å, 90.00 90.00 90.00°
Space group P-4m2 (No. 115)
Asymmetric unit:
Sr 0.000 0.500 0.239 (multiplicity 2)
Tl 0.000 0.000 0.500 (multiplicity 1)
Pd 0.000 0.000 0.000 (multiplicity 1)
Pd 0.000 0.500 0.629 (multiplicity 2)
Pd 0.500 0.500 0.000 (multiplicity 1)
Pb 0.000 0.500 0.883 (multiplicity 2)
Pb 0.500 0.500 0.500 (multiplicity 1)



No. 4
Compound: AlZn2Si2Rh5
Source: the Alexandria database
Functional: PBE-GGA
Structure: optimized geometry

Values from the calculation:
The uncorrected formation energy is -0.585 eV per atom. For the density, the calculation gives 8.379 g/cm3.

Cell: 9.479 9.479 3.213 Å, 90.00 90.00 90.00°
Space group P4/mbm (No. 127)
Asymmetric unit:
Al 0.000 0.000 0.000 (multiplicity 2)
Zn 0.170 0.330 0.000 (multiplicity 4)
Si 0.132 0.632 0.000 (multiplicity 4)
Rh 0.000 0.500 0.500 (multiplicity 2)
Rh 0.084 0.804 0.500 (multiplicity 8)



No. 5
Compound: YTmZr2
Source: the Alexandria database
Functional: PBE-GGA
Structure: optimized geometry

Values from the calculation:
The formation energy is 0.08 eV per atom. The energy above the most stable polymorph in this dataset comes out at 0.0000 eV/atom. For the density, the calculation gives 6.816 g/cm3.

Cell: 22.336 3.369 5.909 Å, 90.00 105.21 90.00°
Space group C2/m (No. 12)
Asymmetric unit:
Y 0.000 0.000 0.000 (multiplicity 2)
Y 0.000 0.500 0.500 (multiplicity 2)
Tm 0.132 0.000 0.463 (multiplicity 4)
Zr 0.132 0.500 0.959 (multiplicity 4)
Zr 0.248 0.000 0.230 (multiplicity 4)



No. 6
Compound: KInRe2O8
Source: the Alexandria database
Functional: PBE-GGA
Structure: optimized geometry

Values from the calculation:
The uncorrected formation energy is -1.653 eV per atom. For the density, the calculation gives 3.884 g/cm3.

Cell: 6.2530 6.2530 8.2616 Å, 90.00 90.00 120.00°
Space group P-3 (No. 147)
Asymmetric unit:
K 0.0000 0.0000 0.0000 (multiplicity 1)
In 0.0000 0.0000 0.5000 (multiplicity 1)
Re 0.3333 0.6667 0.8108 (multiplicity 2)
O 0.1778 0.3591 0.7420 (multiplicity 6)
O 0.3333 0.6667 0.0224 (multiplicity 2)



No. 7
Compound: Be4SiTc
Source: the Alexandria database
Functional: PBE-GGA
Structure: optimized geometry

Values from the calculation:
The uncorrected formation energy is -0.241 eV per atom. The energy above the most stable polymorph in this dataset comes out at 0.0000 eV/atom. For the density, the calculation gives 4.801 g/cm3.

Cell: 6.076 6.076 6.076 Å, 90.00 90.00 90.00°
Space group F-43m (No. 216)
Asymmetric unit:
Be 0.123 0.123 0.123 (multiplicity 16)
Si 0.000 0.000 0.500 (multiplicity 4)
Tc 0.250 0.250 0.750 (multiplicity 4)



No. 8
Compound: FePb3C
Source: the Alexandria database
Functional: PBE-GGA
Structure: optimized geometry

Values from the calculation:
The formation energy is 1.42 eV per atom. The energy above the most stable polymorph in this dataset comes out at 0.0531 eV/atom. For the density, the calculation gives 9.063 g/cm3.

Cell: 5.018 5.018 5.018 Å, 90.00 90.00 90.00°
Space group Pm-3m (No. 221)
Asymmetric unit:
Fe 0.000 0.000 0.000 (multiplicity 1)
Pb 0.000 0.000 0.500 (multiplicity 3)
C 0.500 0.500 0.500 (multiplicity 1)